No. 1
Below is crystalline MnBeMo2 at its relaxed geometry, with properties calculated at the PBE level.

Calculated values
Its formation enthalpy at 0 K is 0.11 eV/atom. The calculation puts the raw total energy at -34.12 eV/cell. The space group is Immm (71).

Unit cell a=4.856 b=4.856 c=4.160 alpha=64.67 beta=64.67 gamma=37.24
Site moments in Bohr magnetons follow the coordinates.
Fractional positions:
Mn1 0.250 0.250 0.250  1.65
Mo1 0.502 0.502 0.498  -0.11
Mo2 0.998 0.998 0.002  -0.11
Be1 0.750 0.750 0.750  -0.03


No. 2
Below is crystalline MnBe2Mo at its relaxed geometry, with properties calculated at the PBE level.

Calculated values
Its formation enthalpy at 0 K is 0.31 eV/atom. The calculation puts the raw total energy at -26.22 eV/cell. The space group is R-3m (166). Its distance to the lowest polymorph of the same formula is 0.3678 eV/atom.

Unit cell a=8.094 b=8.094 c=8.094 alpha=18.52 beta=18.52 gamma=18.52
Site moments in Bohr magnetons follow the coordinates.
Fractional positions:
Be1 0.995 0.995 0.995  -0.03
Be2 0.505 0.505 0.505  -0.03
Mo1 0.750 0.750 0.750  0.01
Mn1 0.250 0.250 0.250  1.54


No. 3
Below is crystalline Mn2Be2Mo at its relaxed geometry, with properties calculated at the PBE level.

Calculated values
Its formation enthalpy at 0 K is -0.04 eV/atom. The calculation puts the raw total energy at -73.69 eV/cell. The space group is P4/mbm (127).

Unit cell a=6.148 b=6.148 c=2.805 alpha=90.00 beta=90.00 gamma=90.00
Site moments in Bohr magnetons follow the coordinates.
Fractional positions:
Mn1 0.827 0.327 0.500  1.09
Mo1 0.500 0.500 0.000  -0.32
Mn2 0.173 0.673 0.500  1.09
Be1 0.381 0.881 0.000  -0.05
Mn3 0.673 0.827 0.500  1.07
Be2 0.881 0.619 0.000  -0.05
Mn4 0.327 0.173 0.500  1.07
Be3 0.119 0.381 0.000  -0.05
Be4 0.619 0.119 0.000  -0.05
Mo2 0.000 0.000 0.000  -0.32


No. 4
Below is crystalline MnBeMo2Pd at its relaxed geometry, with properties calculated at the PBE level.

Calculated values
Its formation enthalpy at 0 K is 1.31 eV/atom. The calculation puts the raw total energy at -33.19 eV/cell. The space group is P4/mmm (123).

Unit cell a=4.374 b=4.601 c=4.374 alpha=90.00 beta=90.00 gamma=90.00
Fractional positions:
Mn1 0.000 0.000 0.000
Be1 0.500 0.500 0.500
Mo1 0.000 0.000 0.500
Mo2 0.500 0.000 0.000
Pd1 0.000 0.500 0.000


No. 5
Below is crystalline Mn2BeMoPt at its relaxed geometry, with properties calculated at the PBE level.

Calculated values
Its formation enthalpy at 0 K is 1.49 eV/atom. The calculation puts the raw total energy at -31.47 eV/cell. The space group is P4/mmm (123).

Unit cell a=4.458 b=4.915 c=4.458 alpha=90.00 beta=90.00 gamma=90.00
Site moments in Bohr magnetons follow the coordinates.
Fractional positions:
Mo1 0.000 0.000 0.000  -0.82
Be1 0.500 0.500 0.500  -0.07
Mn1 0.500 0.000 0.000  2.84
Mn2 0.000 0.000 0.500  2.53
Pt1 0.000 0.500 0.000  -0.10


No. 6
Below is crystalline MnBe2Mo2Ru5 at its relaxed geometry, with properties calculated at the PBE level.

Calculated values
Its formation enthalpy at 0 K is -0.09 eV/atom. The calculation puts the raw total energy at -171.14 eV/cell. The space group is P4/mbm (127).

Unit cell a=2.985 b=9.294 c=9.294 alpha=90.00 beta=90.00 gamma=90.00
Site moments in Bohr magnetons follow the coordinates.
Fractional positions:
Mo1 0.000 0.176 0.324  -0.06
Mo2 0.000 0.824 0.676  -0.06
Be1 0.000 0.376 0.124  0.00
Ru1 0.500 0.293 0.571  -0.06
Be2 0.000 0.124 0.624  0.00
Ru2 0.500 0.071 0.793  -0.06
Ru3 0.500 0.571 0.707  -0.06
Be3 0.000 0.624 0.876  0.00
Ru4 0.500 0.207 0.071  -0.06
Ru5 0.500 0.500 0.000  -0.09
Ru6 0.500 0.429 0.293  -0.06
Ru7 0.500 0.793 0.929  -0.06
Ru8 0.500 0.000 0.500  -0.09
Be4 0.000 0.876 0.376  0.00
Ru9 0.500 0.929 0.207  -0.06
Ru10 0.500 0.707 0.429  -0.06
Mo3 0.000 0.324 0.824  -0.06
Mn1 0.000 0.000 0.000  2.51
Mn2 0.000 0.500 0.500  2.51
Mo4 0.000 0.676 0.176  -0.06